# 1
The following is a DFT calculation (PBE) of a relaxed BaTa4Cu crystal. Values from VASP.

```
&SYSTEM
  ibrav = 0, nat = 6, ntyp = 3
/
ATOMIC_SPECIES
Ba 137.33 Ba.upf
Ta 180.95 Ta.upf
Cu 63.55 Cu.upf
CELL_PARAMETERS angstrom
0.000 4.033 4.033
4.033 0.000 4.033
4.033 4.033 0.000
ATOMIC_POSITIONS crystal
Ba 0.000 0.000 0.000
Ta 0.374 0.374 0.374
Ta 0.374 0.374 0.877
Ta 0.374 0.877 0.374
Ta 0.877 0.374 0.374
Cu 0.750 0.750 0.750
```

Calculated values
electronic total energy = -47.66 eV per cell
ΔH_f (0 K) = 961 meV per atom
space group = F-43m

---

# 2
The following is a DFT calculation (PBE) of a relaxed Ba2TaCu crystal. Values from VASP.

```
&SYSTEM
  ibrav = 0, nat = 4, ntyp = 3
/
ATOMIC_SPECIES
Ba 137.33 Ba.upf
Ta 180.95 Ta.upf
Cu 63.55 Cu.upf
CELL_PARAMETERS angstrom
3.539 0.000 0.000
0.000 3.539 0.000
0.000 0.000 9.866
ATOMIC_POSITIONS crystal
Ba 0.000 0.000 0.000
Ba 0.500 0.500 0.400
Ta 0.500 0.500 0.735
Cu 0.000 0.000 0.641
```

Calculated values
electronic total energy = -17.46 eV per cell
energy above the most stable polymorph in this dataset = 0 meV per atom
ΔH_f (0 K) = 583 meV per atom
space group = P4mm

---

# 3
The following is a DFT calculation (PBE) of a relaxed Ba3TaCu crystal. Values from VASP.

```
&SYSTEM
  ibrav = 0, nat = 5, ntyp = 3
/
ATOMIC_SPECIES
Ba 137.33 Ba.upf
Ta 180.95 Ta.upf
Cu 63.55 Cu.upf
CELL_PARAMETERS angstrom
6.057 0.000 0.000
0.000 6.057 0.000
0.000 0.000 6.057
ATOMIC_POSITIONS crystal
Ba 0.000 0.000 0.500
Ba 0.000 0.500 0.000
Ba 0.500 0.000 0.000
Ta 0.500 0.500 0.500
Cu 0.000 0.000 0.000
```

Calculated values
electronic total energy = -16.72 eV per cell
energy above the most stable polymorph in this dataset = 0 meV per atom
ΔH_f (0 K) = 999 meV per atom
space group = Pm-3m

---

# 4
The following is a DFT calculation (PBE) of a relaxed BaTaCu3 crystal. Values from VASP.

```
&SYSTEM
  ibrav = 0, nat = 5, ntyp = 3
/
ATOMIC_SPECIES
Ba 137.33 Ba.upf
Ta 180.95 Ta.upf
Cu 63.55 Cu.upf
CELL_PARAMETERS angstrom
4.980 0.000 0.000
0.000 4.980 0.000
0.000 0.000 4.980
ATOMIC_POSITIONS crystal
Ba 0.000 0.000 0.000
Ta 0.500 0.500 0.500
Cu 0.000 0.500 0.500
Cu 0.500 0.000 0.500
Cu 0.500 0.500 0.000
```

Calculated values
electronic total energy = -22.69 eV per cell
energy above the most stable polymorph in this dataset = 0 meV per atom
ΔH_f (0 K) = 675 meV per atom
space group = Pm-3m

---

# 5
The following is a DFT calculation (PBE) of a relaxed Ba2TaCu crystal. Values from VASP.

```
&SYSTEM
  ibrav = 0, nat = 8, ntyp = 3
/
ATOMIC_SPECIES
Ba 137.33 Ba.upf
Ta 180.95 Ta.upf
Cu 63.55 Cu.upf
CELL_PARAMETERS angstrom
4.821 0.000 0.000
0.000 4.821 0.000
0.000 0.000 10.855
ATOMIC_POSITIONS crystal
Ba 0.000 0.000 0.000
Ba 0.000 0.500 0.250
Ba 0.500 0.000 0.750
Ba 0.500 0.500 0.500
Ta 0.000 0.000 0.500
Ta 0.500 0.500 0.000
Cu 0.000 0.500 0.750
Cu 0.500 0.000 0.250
```

Calculated values
electronic total energy = -30.83 eV per cell
energy above the most stable polymorph in this dataset = 512 meV per atom
ΔH_f (0 K) = 1095 meV per atom
space group = I-4m2

---

# 6
The following is a DFT calculation (PBE) of a relaxed Ba4TaCu crystal. Values from VASP.

```
&SYSTEM
  ibrav = 0, nat = 6, ntyp = 3
/
ATOMIC_SPECIES
Ba 137.33 Ba.upf
Ta 180.95 Ta.upf
Cu 63.55 Cu.upf
CELL_PARAMETERS angstrom
0.000 4.992 4.992
4.992 0.000 4.992
4.992 4.992 0.000
ATOMIC_POSITIONS crystal
Ba 0.125 0.125 0.125
Ba 0.125 0.125 0.624
Ba 0.125 0.624 0.125
Ba 0.624 0.125 0.125
Ta 0.500 0.500 0.500
Cu 0.750 0.750 0.750
```

Calculated values
electronic total energy = -15.79 eV per cell
ΔH_f (0 K) = 1308 meV per atom
space group = F-43m

---

# 7
The following is a DFT calculation (PBE) of a relaxed Ba2TaCu crystal. Values from VASP.

```
&SYSTEM
  ibrav = 0, nat = 16, ntyp = 3
/
ATOMIC_SPECIES
Ba 137.33 Ba.upf
Ta 180.95 Ta.upf
Cu 63.55 Cu.upf
CELL_PARAMETERS angstrom
8.935 0.000 0.000
0.000 8.935 0.000
0.000 0.000 6.507
ATOMIC_POSITIONS crystal
Ba 0.212 0.750 0.125
Ba 0.250 0.212 0.875
Ba 0.250 0.288 0.375
Ba 0.288 0.750 0.625
Ba 0.712 0.250 0.625
Ba 0.750 0.712 0.375
Ba 0.750 0.788 0.875
Ba 0.788 0.250 0.125
Ta 0.000 0.000 0.500
Ta 0.000 0.500 0.750
Ta 0.500 0.000 0.250
Ta 0.500 0.500 0.000
Cu 0.000 0.000 0.000
Cu 0.000 0.500 0.250
Cu 0.500 0.000 0.750
Cu 0.500 0.500 0.500
```

Calculated values
electronic total energy = -60.57 eV per cell
energy above the most stable polymorph in this dataset = 580 meV per atom
ΔH_f (0 K) = 1163 meV per atom
space group = I-42d

---

# 8
The following is a DFT calculation (PBE) of a relaxed Ba2TaCu crystal. Values from VASP.

```
&SYSTEM
  ibrav = 0, nat = 8, ntyp = 3
/
ATOMIC_SPECIES
Ba 137.33 Ba.upf
Ta 180.95 Ta.upf
Cu 63.55 Cu.upf
CELL_PARAMETERS angstrom
3.610 0.000 0.000
0.000 5.592 0.000
0.000 0.000 12.249
ATOMIC_POSITIONS crystal
Ba 0.000 0.000 0.000
Ba 0.000 0.500 0.208
Ba 0.500 0.000 0.708
Ba 0.500 0.500 0.500
Ta 0.000 0.000 0.413
Ta 0.500 0.500 0.913
Cu 0.000 0.500 0.771
Cu 0.500 0.000 0.271
```

Calculated values
electronic total energy = -33.99 eV per cell
energy above the most stable polymorph in this dataset = 117 meV per atom
ΔH_f (0 K) = 699 meV per atom
space group = Imm2

---

# 9
The following is a DFT calculation (PBE) of a relaxed BaTaCu3 crystal. Values from VASP.

```
&SYSTEM
  ibrav = 0, nat = 5, ntyp = 3
/
ATOMIC_SPECIES
Ba 137.33 Ba.upf
Ta 180.95 Ta.upf
Cu 63.55 Cu.upf
CELL_PARAMETERS angstrom
5.072 0.000 0.000
0.000 5.072 0.000
0.000 0.000 5.072
ATOMIC_POSITIONS crystal
Ba 0.000 0.000 0.000
Ta 0.500 0.500 0.500
Cu 0.000 0.000 0.500
Cu 0.000 0.500 0.000
Cu 0.500 0.000 0.000
```

Calculated values
electronic total energy = -15.39 eV per cell
energy above the most stable polymorph in this dataset = 1460 meV per atom
ΔH_f (0 K) = 2135 meV per atom
space group = Pm-3m

---

# 10
The following is a DFT calculation (PBE) of a relaxed Ba2TaCu crystal. Values from VASP.

```
&SYSTEM
  ibrav = 0, nat = 12, ntyp = 3
/
ATOMIC_SPECIES
Ba 137.33 Ba.upf
Ta 180.95 Ta.upf
Cu 63.55 Cu.upf
CELL_PARAMETERS angstrom
3.583 0.000 0.000
-1.792 3.103 0.000
0.000 0.000 31.863
ATOMIC_POSITIONS crystal
Ba 0.000 0.000 0.245
Ba 0.000 0.000 0.755
Ba 0.333 0.667 0.421
Ba 0.333 0.667 0.912
Ba 0.667 0.333 0.088
Ba 0.667 0.333 0.579
Ta 0.000 0.000 0.000
Ta 0.333 0.667 0.667
Ta 0.667 0.333 0.333
Cu 0.000 0.000 0.500
Cu 0.333 0.667 0.167
Cu 0.667 0.333 0.833
```

Calculated values
electronic total energy = -47.56 eV per cell
energy above the most stable polymorph in this dataset = 403 meV per atom
ΔH_f (0 K) = 986 meV per atom
space group = R-3m

---

# 11
The following is a DFT calculation (PBE) of a relaxed BaTbCu crystal. Values from VASP.

```
&SYSTEM
  ibrav = 0, nat = 6, ntyp = 3
/
ATOMIC_SPECIES
Ba 137.33 Ba.upf
Tb 158.93 Tb.upf
Cu 63.55 Cu.upf
CELL_PARAMETERS angstrom
3.748 0.000 0.000
0.000 3.748 0.000
0.000 0.000 13.568
ATOMIC_POSITIONS crystal
Ba 0.000 0.000 0.000
Ba 0.500 0.500 0.500
Tb 0.000 0.000 0.261
Tb 0.500 0.500 0.761
Cu 0.000 0.000 0.669
Cu 0.500 0.500 0.169
```

Calculated values
electronic total energy = -21.14 eV per cell
energy above the most stable polymorph in this dataset = 0 meV per atom
ΔH_f (0 K) = 26 meV per atom
space group = I4mm

---

# 12
The following is a DFT calculation (PBE) of a relaxed BaTbCu crystal. Values from VASP.

```
&SYSTEM
  ibrav = 0, nat = 12, ntyp = 3
/
ATOMIC_SPECIES
Ba 137.33 Ba.upf
Tb 158.93 Tb.upf
Cu 63.55 Cu.upf
CELL_PARAMETERS angstrom
13.610 0.000 0.000
0.000 5.285 0.000
0.000 0.000 5.270
ATOMIC_POSITIONS crystal
Ba 0.147 0.000 0.000
Ba 0.147 0.500 0.500
Ba 0.853 0.000 0.000
Ba 0.853 0.500 0.500
Tb 0.386 0.000 0.499
Tb 0.386 0.500 0.999
Tb 0.614 0.000 0.499
Tb 0.614 0.500 0.999
Cu 0.000 0.000 0.500
Cu 0.000 0.500 0.000
Cu 0.500 0.000 0.999
Cu 0.500 0.500 0.499
```

Calculated values
electronic total energy = -41.76 eV per cell
energy above the most stable polymorph in this dataset = 44 meV per atom
ΔH_f (0 K) = 70 meV per atom
space group = Amm2

---

# 13
The following is a DFT calculation (PBE) of a relaxed BaTbCu2 crystal. Values from VASP.

```
&SYSTEM
  ibrav = 0, nat = 4, ntyp = 3
/
ATOMIC_SPECIES
Ba 137.33 Ba.upf
Tb 158.93 Tb.upf
Cu 63.55 Cu.upf
CELL_PARAMETERS angstrom
3.700 0.000 0.000
0.000 3.700 0.000
0.000 0.000 7.467
ATOMIC_POSITIONS crystal
Ba 0.000 0.000 0.000
Tb 0.000 0.000 0.500
Cu 0.500 0.500 0.318
Cu 0.500 0.500 0.682
```

Calculated values
electronic total energy = -15.06 eV per cell
ΔH_f (0 K) = -80 meV per atom
space group = P4/mmm

---

# 14
The following is a DFT calculation (PBE) of a relaxed BaTb2CuTe4 crystal. Values from VASP.

```
&SYSTEM
  ibrav = 0, nat = 16, ntyp = 4
/
ATOMIC_SPECIES
Ba 137.33 Ba.upf
Tb 158.93 Tb.upf
Cu 63.55 Cu.upf
Te 127.60 Te.upf
CELL_PARAMETERS angstrom
2.225 -7.438 0.000
2.225 7.438 0.000
0.000 0.000 15.362
ATOMIC_POSITIONS crystal
Ba 0.119 0.881 0.750
Ba 0.881 0.119 0.250
Tb 0.372 0.628 0.560
Tb 0.372 0.628 0.940
Tb 0.628 0.372 0.060
Tb 0.628 0.372 0.440
Cu 0.154 0.846 0.250
Cu 0.846 0.154 0.750
Te 0.000 0.000 0.000
Te 0.000 0.000 0.500
Te 0.268 0.732 0.115
Te 0.268 0.732 0.385
Te 0.440 0.560 0.750
Te 0.560 0.440 0.250
Te 0.732 0.268 0.615
Te 0.732 0.268 0.885
```

Calculated values
electronic total energy = -75.39 eV per cell
space group = Cmcm
formation energy (no corrections) = -1.231 eV/atom

---

Number 1: total magnetic moment 0.0000 μB per atom. Number 2: total magnetic moment 0.0847 μB per atom. Number 3: total magnetic moment 0.8179 μB per atom. Number 4: total magnetic moment 0.0000 μB per atom. Number 5: total magnetic moment 0.8205 μB per atom. Number 6: total magnetic moment 0.8046 μB per atom. Number 7: total magnetic moment 0.8310 μB per atom. Number 8: total magnetic moment 0.0005 μB per atom. Number 9: total magnetic moment 0.4062 μB per atom. Number 10: total magnetic moment 0.0000 μB per atom. Number 11: total magnetic moment 0.0000 μB per atom. Number 12: total magnetic moment 0.0000 μB per atom. Number 13: total magnetic moment 0.0000 μB per atom. Number 14: total magnetic moment 0.0000 μB per atom.